# TiMnPb2C, relaxed, DFT GGA-PBE
# Total DFT energy (no corrections)   -5.8231 eV per atom
# Energy of formation from the pure elements   0.92 eV/atom
# M_tot   0.87 μB per formula unit
data_TiMnPb2C
_chemical_formula_sum 'Ti1 Mn1 Pb2 C1'
_symmetry_space_group_name_H-M 'P 4/m m m'
_symmetry_Int_Tables_number 123
_symmetry_space_group_name_Hall '-P 4 2'
_cell_length_a 5.306
_cell_length_b 5.306
_cell_length_c 3.594
_cell_angle_alpha 90.00
_cell_angle_beta 90.00
_cell_angle_gamma 90.00
loop_
_atom_site_label
_atom_site_type_symbol
_atom_site_fract_x
_atom_site_fract_y
_atom_site_fract_z
_atom_site_occupancy
Ti1 Ti 0.000 0.000 0.000 1
Mn1 Mn 0.500 0.500 0.500 1
Pb1 Pb 0.000 0.500 0.500 1
C1 C 0.500 0.500 0.000 1